Here is a geometry-optimized La2Ga4Pd5 structure from Alexandria via LeMat-Bulk. Energies are from GGA-PBE.

Geometry as POSCAR:
```
La2Ga4Pd5
1.0
5.724 0.000 0.000
2.862 4.852 0.000
2.862 0.000 7.831
Pd Ga La
5 4 2
Direct
0.000 0.500 0.000
0.250 0.500 0.500
0.500 0.500 0.000
0.500 0.000 0.000
0.750 0.500 0.500
0.786 0.686 0.743
0.529 0.686 0.257
0.214 0.314 0.257
0.471 0.314 0.743
0.866 0.000 0.268
0.134 0.000 0.732
```

## Properties
- Total DFT energy (no corrections): -5.132 eV/atom
- Formation energy: -0.775 eV per atom